Entry 1:
This record from Alexandria via LeMat-Bulk describes a relaxed structure of Hf3NbAg. The functional is PBE.

## Properties
VASP energy = -7.262 eV/atom
DOS at the Fermi energy = 1.426 states/eV per atom
ρ = 9.65 g/cm³
Energy relative to the elements = 6.47 eV per formula unit

Lattice parameters (Å, degrees): 5.0225 5.0225 5.0225 90.00 90.00 90.00
Atoms (fractional coordinates):
Hf: 0.5000 0.0000 0.0000
Hf: 0.0000 0.0000 0.5000
Hf: 0.0000 0.5000 0.0000
Nb: 0.5000 0.5000 0.5000
Ag: 0.0000 0.0000 0.0000

***

Entry 2:
This record from Alexandria via LeMat-Bulk describes a relaxed structure of Hf2NbAg. The functional is PBE.

## Properties
VASP energy = -7.592 eV/atom
DOS at the Fermi energy = 0.854 states/eV per atom
ρ = 10.84 g/cm³
Energy relative to the elements = 2.46 eV per formula unit

Lattice parameters (Å, degrees): 4.1673 4.1673 10.2682 78.29 78.29 90.00
Atoms (fractional coordinates):
Nb: 0.5000 0.5000 0.0000
Nb: 0.2500 0.7500 0.5000
Ag: 0.7500 0.2500 0.5000
Ag: 0.0000 0.0000 0.0000
Hf: 0.6181 0.1250 0.2500
Hf: 0.3750 0.3819 0.7500
Hf: 0.1319 0.6250 0.2500
Hf: 0.8750 0.8681 0.7500

***

Entry 3:
This record from Alexandria via LeMat-Bulk describes a relaxed structure of Hf2NbAg. The functional is PBE.

## Properties
VASP energy = -8.139 eV/atom
DOS at the Fermi energy = 1.197 states/eV per atom
ρ = 11.82 g/cm³
Energy relative to the elements = 0.27 eV per formula unit

Lattice parameters (Å, degrees): 4.8028 4.8028 4.8028 60.00 60.00 60.00
Atoms (fractional coordinates):
Ag: 0.5000 0.5000 0.5000
Hf: 0.2500 0.2500 0.2500
Hf: 0.7500 0.7500 0.7500
Nb: 0.0000 0.0000 0.0000

***

Entry 4:
This record from Alexandria via LeMat-Bulk describes a relaxed structure of HfNbAgO2. The functional is PBE.

## Properties
VASP energy = -7.333 eV/atom
Raw formation energy = -3.9 eV per formula unit
DOS at the Fermi energy = 0.655 states/eV per atom
ρ = 7.78 g/cm³

Lattice parameters (Å, degrees): 3.9533 3.9533 5.6134 90.00 90.00 90.00
Atoms (fractional coordinates):
Nb: 0.0000 0.0000 0.0000
Ag: 0.0000 0.0000 0.5000
O: 0.5000 0.0000 0.0000
O: 0.0000 0.5000 0.0000
Hf: 0.5000 0.5000 0.5000

***

Entry 5:
This record from Alexandria via LeMat-Bulk describes a relaxed structure of HfNb2AgOs. The functional is PBE.

## Properties
VASP energy = -7.986 eV/atom
DOS at the Fermi energy = 0.990 states/eV per atom
ρ = 9.31 g/cm³
Energy relative to the elements = 4.24 eV per formula unit

Lattice parameters (Å, degrees): 4.8470 5.0284 4.8470 90.00 90.00 90.00
Atoms (fractional coordinates):
Nb: 0.5000 0.0000 0.0000
Nb: 0.0000 0.0000 0.5000
Os: 0.0000 0.0000 0.0000
Ag: 0.5000 0.5000 0.5000
Hf: 0.0000 0.5000 0.0000

***

Entry 6:
This record from Alexandria via LeMat-Bulk describes a relaxed structure of Hf2NbAgPd. The functional is PBE.

## Properties
VASP energy = -6.370 eV/atom
DOS at the Fermi energy = 1.358 states/eV per atom
ρ = 9.22 g/cm³
Energy relative to the elements = 6.17 eV per formula unit

Lattice parameters (Å, degrees): 4.9971 4.7906 4.9971 90.00 90.00 90.00
Atoms (fractional coordinates):
Ag: 0.0000 0.0000 0.0000
Nb: 0.5000 0.5000 0.5000
Hf: 0.0000 0.0000 0.5000
Hf: 0.5000 0.0000 0.0000
Pd: 0.0000 0.5000 0.0000